Below is an optimized crystal structure of Ca5Al, with properties calculated at the PBE level.

Geometry as extended XYZ:
```
6
Lattice="0.6688 4.5925 -4.8807 -6.0316 -1.0961 2.7890 1.2027 4.4459 4.3482" Properties=species:S:1:pos:R:3 pbc="T T T"
Ca 0.9357 4.5192 -0.2663
Ca -3.7981 0.8001 0.2324
Ca -1.5647 2.6963 -2.3241
Ca -2.4144 1.6749 3.5686
Ca -2.0801 3.9712 1.1282
Al 0.0000 0.0000 0.0000
```

* crystal system: hexagonal
* polymorph energy (0 for the lowest one): 0.4893 eV/atom
* energy of formation from the pure elements: 10.21 kcal/mol of atoms
* space group: P6/mmm, No. 191
* total energy: -1.849 eV/atom

***

Below is an optimized crystal structure of ErTm2Cu, with properties calculated at the PBE level.

Geometry as extended XYZ:
```
8
Lattice="4.8280 0.0027 0.0000 -2.4107 5.6855 0.0000 0.0000 0.0000 7.5099" Properties=species:S:1:pos:R:3 pbc="T T T"
Tm 0.0027 3.9982 7.2527
Tm 0.0027 3.9982 4.0122
Tm 2.4146 1.6899 3.4977
Tm 2.4146 1.6899 0.2573
Cu 2.4203 3.3812 5.6324
Cu -0.0030 2.3069 1.8775
Er 0.0000 0.5106 5.6324
Er 2.4173 5.1775 1.8775
```

* crystal system: monoclinic
* polymorph energy (0 for the lowest one): 0.0465 eV/atom
* energy of formation from the pure elements: -1.83 kcal/mol of atoms
* space group: P2_1/m, No. 11
* total energy: -4.480 eV/atom

***

It is found that the ρ values, taken in the order of the records, are 1517; 9160 kg/m3.